# AgSnSO, relaxed, DFT PBE
data_AgSnSO
_chemical_formula_sum 'Ag8 Sn8 S8 O8'
_space_group_name_H-M_alt 'P b c a'
_space_group_IT_number 61
_space_group_name_Hall '-P 2ac 2ab'
_cell_length_a 7.109
_cell_length_b 7.125
_cell_length_c 11.723
_cell_angle_alpha 90.00
_cell_angle_beta 90.00
_cell_angle_gamma 90.00
loop_
_atom_site_label
_atom_site_type_symbol
_atom_site_fract_x
_atom_site_fract_y
_atom_site_fract_z
Ag1 Ag 0.005 0.237 0.004
Sn1 Sn 0.149 0.574 0.736
S1 S 0.235 0.510 0.950
O1 O 0.094 0.249 0.719
# ΔE to the lowest computed polymorph: 74 meV/atom
# raw total energy: -4.433 eV/atom

# AgSnSO, relaxed, DFT PBE
data_AgSnSO
_chemical_formula_sum 'Ag2 Sn2 S2 O2'
_space_group_name_H-M_alt 'P 63 m c'
_space_group_IT_number 186
_space_group_name_Hall 'P 6c -2c'
_cell_length_a 3.6470
_cell_length_b 3.6470
_cell_length_c 12.8376
_cell_angle_alpha 90.00
_cell_angle_beta 90.00
_cell_angle_gamma 120.00
loop_
_atom_site_label
_atom_site_type_symbol
_atom_site_fract_x
_atom_site_fract_y
_atom_site_fract_z
Ag1 Ag 0.0000 0.0000 0.0000
Sn1 Sn 0.3333 0.6667 0.2558
S1 S 0.3333 0.6667 0.6211
O1 O 0.0000 0.0000 0.3239
# ΔE to the lowest computed polymorph: 54 meV/atom
# raw total energy: -4.452 eV/atom

# AgSnSO, relaxed, DFT PBE
data_AgSnSO
_chemical_formula_sum 'Ag4 Sn4 S4 O4'
_space_group_name_H-M_alt 'C m c m'
_space_group_IT_number 63
_space_group_name_Hall '-C 2c 2'
_cell_length_a 3.376
_cell_length_b 13.808
_cell_length_c 5.946
_cell_angle_alpha 90.00
_cell_angle_beta 90.00
_cell_angle_gamma 90.00
loop_
_atom_site_label
_atom_site_type_symbol
_atom_site_fract_x
_atom_site_fract_y
_atom_site_fract_z
Ag1 Ag 0.000 0.155 0.250
Sn1 Sn 0.000 0.438 0.250
S1 S 0.000 0.204 0.750
O1 O 0.000 0.000 0.000
# ΔE to the lowest computed polymorph: 220 meV/atom
# raw total energy: -4.286 eV/atom

# AgSnSO, relaxed, DFT PBE
data_AgSnSO
_chemical_formula_sum 'Ag2 Sn2 S2 O2'
_space_group_name_H-M_alt 'P 4/n m m'
_space_group_IT_number 129
_cell_length_a 4.220
_cell_length_b 4.220
_cell_length_c 8.813
_cell_angle_alpha 90.00
_cell_angle_beta 90.00
_cell_angle_gamma 90.00
loop_
_space_group_symop_operation_xyz
'x,y,z'
'-x,-y,-z'
'-y+1/2,x,z'
'y+1/2,-x,-z'
'-x+1/2,-y+1/2,z'
'x+1/2,y+1/2,-z'
'y,-x+1/2,z'
'-y,x+1/2,-z'
'x+1/2,-y,-z'
'-x+1/2,y,z'
'-y,-x,-z'
'y,x,z'
'-x,y+1/2,-z'
'x,-y+1/2,z'
'y+1/2,x+1/2,-z'
'-y+1/2,-x+1/2,z'
loop_
_atom_site_label
_atom_site_type_symbol
_atom_site_fract_x
_atom_site_fract_y
_atom_site_fract_z
Ag1 Ag 0.250 0.250 0.050
Sn1 Sn 0.250 0.250 0.663
S1 S 0.250 0.250 0.368
O1 O 0.250 0.750 0.000
# ΔE to the lowest computed polymorph: 354 meV/atom
# raw total energy: -4.153 eV/atom

# AgSnSO, relaxed, DFT PBE
data_AgSnSO
_chemical_formula_sum 'Ag4 Sn4 S4 O4'
_space_group_name_H-M_alt 'P c a 21'
_space_group_IT_number 29
_space_group_name_Hall 'P 2c -2ac'
_cell_length_a 6.615
_cell_length_b 7.275
_cell_length_c 6.755
_cell_angle_alpha 90.00
_cell_angle_beta 90.00
_cell_angle_gamma 90.00
loop_
_atom_site_label
_atom_site_type_symbol
_atom_site_fract_x
_atom_site_fract_y
_atom_site_fract_z
Ag1 Ag 0.123 0.156 0.000
Sn1 Sn 0.119 0.573 0.021
S1 S 0.031 0.139 0.641
O1 O 0.102 0.586 0.690
# ΔE to the lowest computed polymorph: 26 meV/atom
# raw total energy: -4.480 eV/atom

# AgSnSO, relaxed, DFT PBE
data_AgSnSO
_chemical_formula_sum 'Ag2 Sn2 S2 O2'
_space_group_name_H-M_alt 'P 4/n m m'
_space_group_IT_number 129
_cell_length_a 3.754
_cell_length_b 3.754
_cell_length_c 10.949
_cell_angle_alpha 90.00
_cell_angle_beta 90.00
_cell_angle_gamma 90.00
loop_
_space_group_symop_operation_xyz
'x,y,z'
'-x,-y,-z'
'-y+1/2,x,z'
'y+1/2,-x,-z'
'-x+1/2,-y+1/2,z'
'x+1/2,y+1/2,-z'
'y,-x+1/2,z'
'-y,x+1/2,-z'
'x+1/2,-y,-z'
'-x+1/2,y,z'
'-y,-x,-z'
'y,x,z'
'-x,y+1/2,-z'
'x,-y+1/2,z'
'y+1/2,x+1/2,-z'
'-y+1/2,-x+1/2,z'
loop_
_atom_site_label
_atom_site_type_symbol
_atom_site_fract_x
_atom_site_fract_y
_atom_site_fract_z
Ag1 Ag 0.250 0.750 0.000
Sn1 Sn 0.250 0.250 0.381
S1 S 0.250 0.250 0.840
O1 O 0.250 0.250 0.570
# ΔE to the lowest computed polymorph: 259 meV/atom
# raw total energy: -4.247 eV/atom

# AgSnSO, relaxed, DFT PBE
data_AgSnSO
_chemical_formula_sum 'Ag4 Sn4 S4 O4'
_space_group_name_H-M_alt 'P n m a'
_space_group_IT_number 62
_space_group_name_Hall '-P 2ac 2n'
_cell_length_a 6.290
_cell_length_b 3.802
_cell_length_c 13.324
_cell_angle_alpha 90.00
_cell_angle_beta 90.00
_cell_angle_gamma 90.00
loop_
_atom_site_label
_atom_site_type_symbol
_atom_site_fract_x
_atom_site_fract_y
_atom_site_fract_z
Ag1 Ag 0.161 0.250 0.102
Sn1 Sn 0.120 0.750 0.335
S1 S 0.229 0.750 0.948
O1 O 0.208 0.250 0.702
# ΔE to the lowest computed polymorph: 72 meV/atom
# raw total energy: -4.434 eV/atom

# AgSnSO, relaxed, DFT PBE
data_AgSnSO
_chemical_formula_sum 'Ag8 Sn8 S8 O8'
_space_group_name_H-M_alt 'P b c a'
_space_group_IT_number 61
_space_group_name_Hall '-P 2ac 2ab'
_cell_length_a 6.506
_cell_length_b 7.177
_cell_length_c 12.385
_cell_angle_alpha 90.00
_cell_angle_beta 90.00
_cell_angle_gamma 90.00
loop_
_atom_site_label
_atom_site_type_symbol
_atom_site_fract_x
_atom_site_fract_y
_atom_site_fract_z
Ag1 Ag 0.030 0.013 0.247
Sn1 Sn 0.093 0.742 0.052
S1 S 0.236 0.000 0.918
O1 O 0.175 0.227 0.659
# ΔE to the lowest computed polymorph: 213 meV/atom
# raw total energy: -4.294 eV/atom

# AgSnSO, relaxed, DFT PBE
data_AgSnSO
_chemical_formula_sum 'Ag4 Sn4 S4 O4'
_space_group_name_H-M_alt 'P 21 21 21'
_space_group_IT_number 19
_space_group_name_Hall 'P 2ac 2ab'
_cell_length_a 6.277
_cell_length_b 7.014
_cell_length_c 7.575
_cell_angle_alpha 90.00
_cell_angle_beta 90.00
_cell_angle_gamma 90.00
loop_
_atom_site_label
_atom_site_type_symbol
_atom_site_fract_x
_atom_site_fract_y
_atom_site_fract_z
Ag1 Ag 0.080 0.135 0.378
Sn1 Sn 0.055 0.669 0.594
S1 S 0.205 0.554 0.912
O1 O 0.210 0.124 0.072
# ΔE to the lowest computed polymorph: 97 meV/atom
# raw total energy: -4.409 eV/atom

# AgSnSO, relaxed, DFT PBE
data_AgSnSO
_chemical_formula_sum 'Ag4 Sn4 S4 O4'
_space_group_name_H-M_alt 'C m c 21'
_space_group_IT_number 36
_space_group_name_Hall 'C 2c -2'
_cell_length_a 3.588
_cell_length_b 15.021
_cell_length_c 5.484
_cell_angle_alpha 90.00
_cell_angle_beta 90.00
_cell_angle_gamma 90.00
loop_
_atom_site_label
_atom_site_type_symbol
_atom_site_fract_x
_atom_site_fract_y
_atom_site_fract_z
Ag1 Ag 0.000 0.050 0.000
Sn1 Sn 0.000 0.325 0.984
S1 S 0.000 0.326 0.480
O1 O 0.000 0.098 0.478
# ΔE to the lowest computed polymorph: 58 meV/atom
# raw total energy: -4.449 eV/atom

# AgSnSO, relaxed, DFT PBE
data_AgSnSO
_chemical_formula_sum 'Ag4 Sn4 S4 O4'
_space_group_name_H-M_alt 'C m c m'
_space_group_IT_number 63
_space_group_name_Hall '-C 2c 2'
_cell_length_a 3.828
_cell_length_b 12.639
_cell_length_c 6.369
_cell_angle_alpha 90.00
_cell_angle_beta 90.00
_cell_angle_gamma 90.00
loop_
_atom_site_label
_atom_site_type_symbol
_atom_site_fract_x
_atom_site_fract_y
_atom_site_fract_z
Ag1 Ag 0.000 0.116 0.250
Sn1 Sn 0.000 0.395 0.250
S1 S 0.000 0.241 0.750
O1 O 0.000 0.500 0.000
# ΔE to the lowest computed polymorph: 192 meV/atom
# raw total energy: -4.314 eV/atom

# SrAgSO, relaxed, DFT PBE
data_SrAgSO
_chemical_formula_sum 'Sr2 Ag2 S2 O2'
_space_group_name_H-M_alt 'P 63 m c'
_space_group_IT_number 186
_space_group_name_Hall 'P 6c -2c'
_cell_length_a 4.1057
_cell_length_b 4.1057
_cell_length_c 11.6282
_cell_angle_alpha 90.00
_cell_angle_beta 90.00
_cell_angle_gamma 120.00
loop_
_atom_site_label
_atom_site_type_symbol
_atom_site_fract_x
_atom_site_fract_y
_atom_site_fract_z
Sr1 Sr 0.0000 0.0000 0.0000
Ag1 Ag 0.3333 0.6667 0.2408
S1 S 0.3333 0.6667 0.6340
O1 O 0.0000 0.0000 0.3042
# raw total energy: -4.121 eV/atom